Record 1
First-principles (PBE) data for SmPu5Pd6 after structural relaxation, as listed in Alexandria via LeMat-Bulk.

Results
**Energy relative to the elements**: -0.459 eV per atom
**Total magnetic moment**: 28.52 μB per formula unit

Lattice parameters (Å, degrees): 15.730 7.098 4.983 90.00 108.19 90.00
Space group C2/m (No. 12)
One atom of each set of equivalent atoms:
Sm (0.000, 0.000, 0.000)
Pu (0.000, 0.500, 0.000)
Pu (0.160, 0.500, 0.660)
Pu (0.177, 0.000, 0.676)
Pd (0.000, 0.232, 0.500)
Pd (0.165, 0.241, 0.165)

Record 2
First-principles (PBE) data for Sm2PuPd9 after structural relaxation, as listed in Alexandria via LeMat-Bulk.

Results
**Energy relative to the elements**: -0.729 eV per atom
**Total magnetic moment**: 4.17 μB per formula unit

Lattice parameters (Å, degrees): 4.159 4.159 12.503 90.00 90.00 90.00
Space group P4/mmm (No. 123)
One atom of each set of equivalent atoms:
Sm (0.000, 0.000, 0.166)
Pu (0.000, 0.000, 0.500)
Pd (0.000, 0.500, 0.000)
Pd (0.000, 0.500, 0.338)
Pd (0.500, 0.500, 0.168)
Pd (0.500, 0.500, 0.500)

Record 3
First-principles (PBE) data for Sm2PuPd6 after structural relaxation, as listed in Alexandria via LeMat-Bulk.

Results
**Energy relative to the elements**: -0.537 eV per atom
**Total magnetic moment**: 5.14 μB per formula unit

Lattice parameters (Å, degrees): 7.278 11.176 4.584 90.00 90.00 90.00
Space group Cmmm (No. 65)
One atom of each set of equivalent atoms:
Sm (0.000, 0.245, 0.000)
Pu (0.000, 0.000, 0.500)
Pd (0.194, 0.364, 0.500)
Pd (0.209, 0.500, 0.000)

Record 4
First-principles (PBE) data for Sm2Pu2Pd15 after structural relaxation, as listed in Alexandria via LeMat-Bulk.

Results
**Energy relative to the elements**: -0.463 eV per atom
**Total magnetic moment**: 10.13 μB per formula unit

Lattice parameters (Å, degrees): 9.2556 9.2556 14.1062 90.00 90.00 120.00
Space group R-3m (No. 166, hexagonal axes)
One atom of each set of equivalent atoms:
Sm (0.0000, 0.0000, 0.1409)
Pu (0.0000, 0.0000, 0.4011)
Pd (0.0000, 0.3153, 0.5000)
Pd (0.0000, 0.5000, 0.0000)
Pd (0.0063, 0.5032, 0.6567)

Record 5
First-principles (PBE) data for SmPuPd14 after structural relaxation, as listed in Alexandria via LeMat-Bulk.

Results
**Energy relative to the elements**: -0.328 eV per atom
**Total magnetic moment**: 3.92 μB per formula unit

Lattice parameters (Å, degrees): 5.824 5.824 7.874 90.00 90.00 90.00
Space group P4/mmm (No. 123)
One atom of each set of equivalent atoms:
Sm (0.000, 0.000, 0.000)
Pu (0.500, 0.500, 0.000)
Pd (0.000, 0.000, 0.500)
Pd (0.000, 0.500, 0.000)
Pd (0.000, 0.500, 0.500)
Pd (0.252, 0.252, 0.259)
Pd (0.500, 0.500, 0.500)

Record 6
First-principles (PBE) data for SmPu2Pd after structural relaxation, as listed in Alexandria via LeMat-Bulk.

Results
**Energy relative to the elements**: -0.087 eV per atom
**Total magnetic moment**: 11.95 μB per formula unit

Lattice parameters (Å, degrees): 3.661 3.661 7.801 90.00 90.00 90.00
Space group P4/mmm (No. 123)
One atom of each set of equivalent atoms:
Sm (0.000, 0.000, 0.000)
Pu (0.500, 0.500, 0.299)
Pd (0.000, 0.000, 0.500)

Record 7
First-principles (PBE) data for SmPu2Sn2Pd2 after structural relaxation, as listed in Alexandria via LeMat-Bulk.

Results
**Energy relative to the elements**: -0.552 eV per atom
**Total magnetic moment**: 10.50 μB per formula unit

Lattice parameters (Å, degrees): 4.6573 4.6573 26.1182 90.00 90.00 120.00
Space group R-3m (No. 166, hexagonal axes)
One atom of each set of equivalent atoms:
Sm (0.0000, 0.0000, 0.0000)
Pu (0.0000, 0.0000, 0.1411)
Sn (0.0000, 0.0000, 0.2651)
Pd (0.0000, 0.0000, 0.4248)

Record 8
First-principles (PBE) data for SmPuSnPd after structural relaxation, as listed in Alexandria via LeMat-Bulk.

Results
**Energy relative to the elements**: -0.465 eV per atom
**Total magnetic moment**: 5.50 μB per formula unit

Lattice parameters (Å, degrees): 7.416 7.416 7.416 90.00 90.00 90.00
Space group F-43m (No. 216)
One atom of each set of equivalent atoms:
Sm (0.000, 0.000, 0.000)
Pu (0.000, 0.000, 0.500)
Sn (0.250, 0.250, 0.750)
Pd (0.250, 0.250, 0.250)

Record 9
First-principles (PBE) data for SmPuTcPd after structural relaxation, as listed in Alexandria via LeMat-Bulk.

Results
**Energy relative to the elements**: -0.152 eV per atom
**Total magnetic moment**: 4.30 μB per formula unit

Lattice parameters (Å, degrees): 6.960 6.960 6.960 90.00 90.00 90.00
Space group F-43m (No. 216)
One atom of each set of equivalent atoms:
Sm (0.000, 0.000, 0.000)
Pu (0.000, 0.000, 0.500)
Tc (0.250, 0.250, 0.250)
Pd (0.250, 0.250, 0.750)

Record 10
First-principles (PBE) data for SmPuZnPd after structural relaxation, as listed in Alexandria via LeMat-Bulk.

Results
**Energy relative to the elements**: -0.336 eV per atom
**Total magnetic moment**: 5.68 μB per formula unit

Lattice parameters (Å, degrees): 7.176 7.176 7.176 90.00 90.00 90.00
Space group F-43m (No. 216)
One atom of each set of equivalent atoms:
Sm (0.000, 0.000, 0.000)
Pu (0.000, 0.000, 0.500)
Zn (0.250, 0.250, 0.750)
Pd (0.250, 0.250, 0.250)

Record 11
First-principles (PBE) data for Pu2Sn3Pd5 after structural relaxation, as listed in Alexandria via LeMat-Bulk.

Results
**Energy relative to the elements**: -0.533 eV per atom
**Total magnetic moment**: 0.05 μB per formula unit

Lattice parameters (Å, degrees): 4.738 28.759 5.915 90.00 90.00 90.00
Space group Cmc2_1 (No. 36)
One atom of each set of equivalent atoms:
Pu (0.000, 0.000, 0.000)
Pu (0.000, 0.334, 0.459)
Sn (0.000, 0.103, 0.251)
Sn (0.000, 0.270, 0.962)
Sn (0.000, 0.445, 0.254)
Pd (0.000, 0.102, 0.743)
Pd (0.000, 0.196, 0.231)
Pd (0.000, 0.198, 0.690)
Pd (0.000, 0.364, 0.970)
Pd (0.000, 0.452, 0.746)

Record 12
First-principles (PBE) data for PuSnPd2 after structural relaxation, as listed in Alexandria via LeMat-Bulk.

Results
**Energy relative to the elements**: -0.446 eV per atom
**Total magnetic moment**: 5.62 μB per formula unit

Lattice parameters (Å, degrees): 6.971 5.832 8.325 90.00 90.00 90.00
Space group Pnma (No. 62)
One atom of each set of equivalent atoms:
Pu (0.065, 0.250, 0.009)
Sn (0.118, 0.250, 0.579)
Pd (0.173, 0.006, 0.301)